# BaCoAsO

An optimized crystal structure of BaCoAsO (GGA+U, OQMD via LeMat-Bulk).

Geometry as POSCAR:
```
BaCoAsO
1.0
6.0278 0.0000 0.0000
0.0000 3.7639 0.0000
0.0000 0.0000 7.4828
Ba Co As O
2 2 2 2
direct
0.2500 0.0000 0.1736
0.7500 0.0000 0.8264
0.2500 0.5000 0.8135
0.7500 0.5000 0.1865
0.2500 0.0000 0.6053
0.7500 0.0000 0.3947
0.0000 0.5000 0.0000
0.5000 0.5000 0.0000
```

* SG: Pmma, No. 51
* M_tot: 0.563 μB per atom
* volume: 169.77 Å³ per cell
* raw total energy: -5.145 eV/atom